[1]
Cs2BAu | GGA-PBE | optimized geometry

Summary:
N(E_F) (states/eV per atom): 1.91
ΔE_f (eV/atom): 1.009

a = 7.626 Å, b = 7.626 Å, c = 10.296 Å
α = 68.26°, β = 68.26°, γ = 90.00°
Last column: magnetic moment on the atom in μB.
Sites, in units of the cell vectors:
Cs 0.602 0.125 0.250  0.04
Cs 0.148 0.625 0.250  0.04
Cs 0.875 0.852 0.750  0.04
Cs 0.375 0.398 0.750  0.04
Au 0.750 0.250 0.500  0.01
Au 0.000 0.000 0.000  0.01
B 0.500 0.500 0.000  0.62
B 0.250 0.750 0.500  0.61


[2]
CsB2Au | GGA-PBE | optimized geometry

Summary:
N(E_F) (states/eV per atom): 0.59
ΔE_f (eV/atom): 2.053

a = 4.806 Å, b = 4.806 Å, c = 4.806 Å
α = 60.00°, β = 60.00°, γ = 60.00°
Sites, in units of the cell vectors:
Au 0.500 0.500 0.500
B 0.250 0.250 0.250
B 0.750 0.750 0.750
Cs 0.000 0.000 0.000


[3]
CsFe2BAu | GGA-PBE | optimized geometry

Summary:
N(E_F) (states/eV per atom): 1.42
ΔE_f (eV/atom): 3.083

a = 4.916 Å, b = 5.949 Å, c = 4.916 Å
α = 90.00°, β = 90.00°, γ = 90.00°
Last column: magnetic moment on the atom in μB.
Sites, in units of the cell vectors:
B 0.500 0.500 0.500  -0.09
Cs 0.000 0.000 0.000  -0.03
Au 0.000 0.500 0.000  0.03
Fe 0.500 0.000 0.000  2.78
Fe 0.000 0.000 0.500  2.43